# 1
# CuTe2Pb, single point on PBEsol structure, DFT meta-GGA SCAN
# Raw total energy   -165.9 eV for the cell shown
# Raw formation energy   -0.1000 eV per atom
data_CuTe2Pb
_symmetry_space_group_name_H-M 'P 1'
_symmetry_Int_Tables_number 1
_symmetry_space_group_name_Hall 'P 1'
_cell_length_a 3.9729
_cell_length_b 7.0830
_cell_length_c 4.2834
_cell_angle_alpha 95.86
_cell_angle_beta 117.63
_cell_angle_gamma 90.00
loop_
_atom_site_label
_atom_site_fract_x
_atom_site_fract_y
_atom_site_fract_z
_atom_site_occupancy
Pb1 0.3903 0.0025 0.7806 1
Te1 0.0352 0.6885 0.0703 1
Te2 0.7337 0.2878 0.4674 1
Cu1 0.3408 0.5213 0.6816 1


# 2
# P2OsSeS, single point on PBEsol structure, DFT meta-GGA SCAN
# Raw total energy   -118.7 eV for the cell shown
# Raw formation energy   0.7329 eV per atom
data_P2OsSeS
_symmetry_space_group_name_H-M 'P 1'
_symmetry_Int_Tables_number 1
_symmetry_space_group_name_Hall 'P 1'
_cell_length_a 4.3667
_cell_length_b 4.6529
_cell_length_c 4.6529
_cell_angle_alpha 90.00
_cell_angle_beta 90.00
_cell_angle_gamma 90.00
loop_
_atom_site_label
_atom_site_fract_x
_atom_site_fract_y
_atom_site_fract_z
_atom_site_occupancy
P1 0.0000 0.0000 0.5000 1
P2 0.0000 0.5000 0.0000 1
S1 0.5000 0.0000 0.0000 1
Os1 0.0000 0.0000 0.0000 1
Se1 0.5000 0.5000 0.5000 1


# 3
# MgZr3Fe, single point on PBEsol structure, DFT meta-GGA SCAN
# Raw total energy   -107.8 eV for the cell shown
# Energy relative to the elements   1.470 eV per atom
data_MgZr3Fe
_symmetry_space_group_name_H-M 'P 1'
_symmetry_Int_Tables_number 1
_symmetry_space_group_name_Hall 'P 1'
_cell_length_a 4.9418
_cell_length_b 4.9418
_cell_length_c 4.9418
_cell_angle_alpha 90.00
_cell_angle_beta 90.00
_cell_angle_gamma 90.00
loop_
_atom_site_label
_atom_site_fract_x
_atom_site_fract_y
_atom_site_fract_z
_atom_site_occupancy
Mg1 0.0000 0.0000 0.0000 1
Fe1 0.5000 0.5000 0.5000 1
Zr1 0.0000 0.5000 0.0000 1
Zr2 0.0000 0.0000 0.5000 1
Zr3 0.5000 0.0000 0.0000 1